# 1
# Ni3SbC | the Alexandria database | PBE-GGA | relaxed
# E above lowest polymorph: 2.0169 eV per atom
# Formation energy (no corrections): 2.139 eV/atom
data_Ni3SbC
_chemical_formula_sum 'Ni3 Sb1 C1'
_cell_length_a 4.6063
_cell_length_b 4.6063
_cell_length_c 4.6063
_cell_angle_alpha 90.00
_cell_angle_beta 90.00
_cell_angle_gamma 90.00
_space_group_name_H-M_alt 'P m -3 m'
_space_group_IT_number 221
_space_group_name_Hall '-P 4 2 3'
loop_
_atom_site_label
_atom_site_type_symbol
_atom_site_fract_x
_atom_site_fract_y
_atom_site_fract_z
Ni1 Ni 0.0000 0.0000 0.5000
Sb1 Sb 0.0000 0.0000 0.0000
C1 C 0.5000 0.5000 0.5000

=====

# 2
# Na3ThBi2Se6 | the Alexandria database | PBE-GGA | relaxed
# Formation energy (no corrections): -0.983 eV/atom
data_Na3ThBi2Se6
_chemical_formula_sum 'Na6 Th2 Bi4 Se12'
_cell_length_a 7.4358
_cell_length_b 13.1999
_cell_length_c 7.3616
_cell_angle_alpha 90.00
_cell_angle_beta 109.91
_cell_angle_gamma 90.00
_space_group_name_H-M_alt 'C 1 2/m 1'
_space_group_IT_number 12
_space_group_name_Hall '-C 2y'
loop_
_atom_site_label
_atom_site_type_symbol
_atom_site_fract_x
_atom_site_fract_y
_atom_site_fract_z
Na1 Na 0.0000 0.0000 0.0000
Na2 Na 0.0000 0.3250 0.0000
Th1 Th 0.0000 0.5000 0.5000
Bi1 Bi 0.0000 0.1654 0.5000
Se1 Se 0.2435 0.3391 0.7359
Se2 Se 0.2499 0.0000 0.7351

=====

# 3
# DyThZr2 | the Alexandria database | PBE-GGA | relaxed
# Energy of formation from the pure elements: 0.105 eV per atom
# E above lowest polymorph: 0.0000 eV per atom
data_DyThZr2
_chemical_formula_sum 'Dy1 Th1 Zr2'
_cell_length_a 4.7806
_cell_length_b 4.7806
_cell_length_c 4.7169
_cell_angle_alpha 90.00
_cell_angle_beta 90.00
_cell_angle_gamma 90.00
_space_group_name_H-M_alt 'P 4/m m m'
_space_group_IT_number 123
_space_group_name_Hall '-P 4 2'
loop_
_atom_site_label
_atom_site_type_symbol
_atom_site_fract_x
_atom_site_fract_y
_atom_site_fract_z
Dy1 Dy 0.0000 0.0000 0.0000
Th1 Th 0.5000 0.5000 0.0000
Zr1 Zr 0.0000 0.5000 0.5000

=====

# 4
# YSiIrAu2 | the Alexandria database | PBE-GGA | relaxed
# Formation energy (no corrections): 1.643 eV/atom
data_YSiIrAu2
_chemical_formula_sum 'Y1 Si1 Ir1 Au2'
_cell_length_a 5.1813
_cell_length_b 5.1813
_cell_length_c 5.3031
_cell_angle_alpha 90.00
_cell_angle_beta 90.00
_cell_angle_gamma 90.00
_space_group_name_H-M_alt 'P 4/m m m'
_space_group_IT_number 123
_space_group_name_Hall '-P 4 2'
loop_
_atom_site_label
_atom_site_type_symbol
_atom_site_fract_x
_atom_site_fract_y
_atom_site_fract_z
Y1 Y 0.0000 0.0000 0.0000
Si1 Si 0.0000 0.0000 0.5000
Ir1 Ir 0.5000 0.5000 0.5000
Au1 Au 0.0000 0.5000 0.0000

=====

# 5
# AgSn2Pb6 | the Alexandria database | PBE-GGA | relaxed
# Energy of formation from the pure elements: 0.064 eV per atom
data_AgSn2Pb6
_chemical_formula_sum 'Ag4 Sn8 Pb24'
_cell_length_a 13.7192
_cell_length_b 12.5316
_cell_length_c 6.2421
_cell_angle_alpha 90.00
_cell_angle_beta 93.29
_cell_angle_gamma 90.00
_space_group_name_H-M_alt 'C 1 2/c 1'
_space_group_IT_number 15
_space_group_name_Hall '-C 2yc'
loop_
_atom_site_label
_atom_site_type_symbol
_atom_site_fract_x
_atom_site_fract_y
_atom_site_fract_z
Ag1 Ag 0.0000 0.1121 0.2500
Sn1 Sn 0.1564 0.4664 0.4088
Pb1 Pb 0.0340 0.3198 0.9998
Pb2 Pb 0.1237 0.0864 0.7255
Pb3 Pb 0.2213 0.1786 0.2367

=====

# 6
# Tc2MoPb | the Alexandria database | PBE-GGA | relaxed
# Energy of formation from the pure elements: 0.471 eV per atom
data_Tc2MoPb
_chemical_formula_sum 'Tc2 Mo1 Pb1'
_cell_length_a 2.9890
_cell_length_b 4.1032
_cell_length_c 5.6857
_cell_angle_alpha 90.00
_cell_angle_beta 90.03
_cell_angle_gamma 90.00
_space_group_name_H-M_alt 'P 1 m 1'
_space_group_IT_number 6
_space_group_name_Hall 'P -2y'
loop_
_atom_site_label
_atom_site_type_symbol
_atom_site_fract_x
_atom_site_fract_y
_atom_site_fract_z
Tc1 Tc 0.0000 0.0000 0.0000
Tc2 Tc 0.5003 0.5000 0.2073
Mo1 Mo 0.4963 0.5000 0.7942
Pb1 Pb 0.9984 0.0000 0.4956

=====

# 7
# Sb2WAu | the Alexandria database | PBE-GGA | relaxed
# E above lowest polymorph: 0.4394 eV per atom
# Formation energy (no corrections): 0.769 eV/atom
data_Sb2WAu
_chemical_formula_sum 'Sb2 W1 Au1'
_cell_length_a 3.4957
_cell_length_b 4.5236
_cell_length_c 5.2909
_cell_angle_alpha 90.00
_cell_angle_beta 90.00
_cell_angle_gamma 90.00
_space_group_name_H-M_alt 'P m m m'
_space_group_IT_number 47
_space_group_name_Hall '-P 2 2'
loop_
_atom_site_label
_atom_site_type_symbol
_atom_site_fract_x
_atom_site_fract_y
_atom_site_fract_z
Sb1 Sb 0.0000 0.0000 0.0000
Sb2 Sb 0.5000 0.0000 0.5000
W1 W 0.0000 0.5000 0.5000
Au1 Au 0.5000 0.5000 0.0000

=====

# 8
# La3P4Rh2 | the Alexandria database | PBE-GGA | relaxed
# Energy of formation from the pure elements: -1.205 eV per atom
data_La3P4Rh2
_chemical_formula_sum 'La6 P8 Rh4'
_cell_length_a 12.3238
_cell_length_b 4.1354
_cell_length_c 8.6769
_cell_angle_alpha 90.00
_cell_angle_beta 119.22
_cell_angle_gamma 90.00
_space_group_name_H-M_alt 'C 1 2/m 1'
_space_group_IT_number 12
_space_group_name_Hall '-C 2y'
loop_
_atom_site_label
_atom_site_type_symbol
_atom_site_fract_x
_atom_site_fract_y
_atom_site_fract_z
La1 La 0.0000 0.0000 0.0000
La2 La 0.1295 0.5000 0.7240
P1 P 0.1002 0.0000 0.3975
P2 P 0.1889 0.5000 0.1032
Rh1 Rh 0.1849 0.5000 0.3761

=====

# 9
# TiGaF2 | the Alexandria database | PBE-GGA | relaxed
# E above lowest polymorph: 0.7295 eV per atom
# Formation energy (no corrections): -1.201 eV/atom
data_TiGaF2
_chemical_formula_sum 'Ti4 Ga4 F8'
_cell_length_a 6.0325
_cell_length_b 6.0325
_cell_length_c 6.0325
_cell_angle_alpha 90.00
_cell_angle_beta 90.00
_cell_angle_gamma 90.00
_space_group_name_H-M_alt 'F m -3 m'
_space_group_IT_number 225
_space_group_name_Hall '-F 4 2 3'
loop_
_atom_site_label
_atom_site_type_symbol
_atom_site_fract_x
_atom_site_fract_y
_atom_site_fract_z
Ti1 Ti 0.0000 0.0000 0.0000
Ga1 Ga 0.0000 0.0000 0.5000
F1 F 0.2500 0.2500 0.2500

=====

# 10
# RbBa3Ta2O8 | the Alexandria database | PBE-GGA | relaxed
# Formation energy (no corrections): -2.620 eV/atom
data_RbBa3Ta2O8
_chemical_formula_sum 'Rb1 Ba3 Ta2 O8'
_cell_length_a 6.1290
_cell_length_b 6.1290
_cell_length_c 9.5678
_cell_angle_alpha 90.00
_cell_angle_beta 90.00
_cell_angle_gamma 120.00
_space_group_name_H-M_alt 'P -3 m 1'
_space_group_IT_number 164
_space_group_name_Hall '-P 3 2"'
loop_
_atom_site_label
_atom_site_type_symbol
_atom_site_fract_x
_atom_site_fract_y
_atom_site_fract_z
Rb1 Rb 0.0000 0.0000 0.0000
Ba1 Ba 0.0000 0.0000 0.5000
Ba2 Ba 0.3333 0.6667 0.2187
Ta1 Ta 0.3333 0.6667 0.6708
O1 O 0.1673 0.3347 0.7346
O2 O 0.3333 0.6667 0.4747

=====

# 11
# Y2Pa2Te2S5 | the Alexandria database | PBE-GGA | relaxed
# Formation energy (no corrections): -1.444 eV/atom
data_Y2Pa2Te2S5
_chemical_formula_sum 'Y4 Pa4 Te4 S10'
_cell_length_a 5.2578
_cell_length_b 5.2578
_cell_length_c 25.0342
_cell_angle_alpha 90.00
_cell_angle_beta 90.00
_cell_angle_gamma 90.00
_space_group_name_H-M_alt 'I 4/m m m'
_space_group_IT_number 139
_space_group_name_Hall '-I 4 2'
loop_
_atom_site_label
_atom_site_type_symbol
_atom_site_fract_x
_atom_site_fract_y
_atom_site_fract_z
Y1 Y 0.0000 0.0000 0.1578
Pa1 Pa 0.0000 0.0000 0.3962
Te1 Te 0.0000 0.0000 0.2781
S1 S 0.0000 0.0000 0.5000
S2 S 0.0000 0.5000 0.1135

=====

# 12
# Co2RhW | the Alexandria database | PBE-GGA | relaxed
# Energy of formation from the pure elements: 0.090 eV per atom
# E above lowest polymorph: 0.1659 eV per atom
data_Co2RhW
_chemical_formula_sum 'Co4 Rh2 W2'
_cell_length_a 8.6419
_cell_length_b 2.6974
_cell_length_c 4.5950
_cell_angle_alpha 90.00
_cell_angle_beta 100.76
_cell_angle_gamma 90.00
_space_group_name_H-M_alt 'C 1 2/m 1'
_space_group_IT_number 12
_space_group_name_Hall '-C 2y'
loop_
_atom_site_label
_atom_site_type_symbol
_atom_site_fract_x
_atom_site_fract_y
_atom_site_fract_z
Co1 Co 0.2492 0.0000 0.2544
Rh1 Rh 0.0000 0.5000 0.0000
W1 W 0.0000 0.0000 0.5000

=====

For each record above, in turn, the calculated volume values are 19.5 28.3 26.9 28.5 29.8 17.4 20.9 21.4 13.7 22.2 31.5 13.2 Å³/atom.